[1]
The following is a PBE calculation of a geometry-optimized YCdBN2 structure, from Alexandria via LeMat-Bulk.

Unit cell a=4.2898 b=4.2898 c=6.4596 alpha=90.00 beta=90.00 gamma=90.00
Space group P4/mmm (No. 123)
Inequivalent atoms, fractional coordinates:
1 Y 0.0000 0.0000 0.0000
2 Cd 0.0000 0.0000 0.5000
3 B 0.5000 0.5000 0.5000
4 N 0.0000 0.5000 0.0000

Computed properties:
DOS(E_F)	0.760	states/eV/atom
DFT total energy	-21.9	eV/cell
V	119	Å³ per cell
size of the total moment	0.0	Bohr magnetons per cell
formation energy without anion corrections	1.7690	eV per atom

---

[2]
The following is a PBE calculation of a geometry-optimized NaCd2B structure, from Alexandria via LeMat-Bulk.

Unit cell a=5.8981 b=5.8981 c=13.0917 alpha=90.00 beta=90.00 gamma=90.00
Space group I-42d (No. 122)
Inequivalent atoms, fractional coordinates:
1 Na 0.0000 0.0000 0.0000
2 Cd 0.0154 0.2500 0.6250
3 B 0.0000 0.0000 0.5000

Computed properties:
DOS(E_F)	0.048	states/eV/atom
DFT total energy	-30.5	eV/cell
ΔH_f (0 K)	547	meV/atom
V	455	Å³ per cell
size of the total moment	0.0	Bohr magnetons per cell

---

[3]
The following is a PBE calculation of a geometry-optimized NaCd2BO4 structure, from Alexandria via LeMat-Bulk.

Unit cell a=6.9698 b=8.6691 c=8.0235 alpha=90.00 beta=90.00 gamma=90.00
Space group Imma (No. 74)
Inequivalent atoms, fractional coordinates:
1 Na 0.0000 0.0000 0.0000
2 Cd 0.0000 0.0000 0.5000
3 Cd 0.2500 0.2500 0.2500
4 B 0.2500 0.2500 0.7500
5 O 0.0000 0.0811 0.2614
6 O 0.2393 0.2500 0.9084

Computed properties:
DFT total energy	-163.8	eV/cell
V	485	Å³ per cell
size of the total moment	0.0	Bohr magnetons per cell
formation energy without anion corrections	-1.4109	eV per atom

---

[4]
The following is a PBE calculation of a geometry-optimized Na2CdBO4 structure, from Alexandria via LeMat-Bulk.

Unit cell a=5.8301 b=5.8301 c=5.5299 alpha=90.00 beta=90.00 gamma=90.00
Space group I-42m (No. 121)
Inequivalent atoms, fractional coordinates:
1 Na 0.0000 0.5000 0.0000
2 Cd 0.0000 0.0000 0.0000
3 B 0.0000 0.0000 0.5000
4 O 0.1456 0.1456 0.3378

Computed properties:
DOS(E_F)	0.567	states/eV/atom
DFT total energy	-83.2	eV/cell
V	188	Å³ per cell
size of the total moment	2.0	Bohr magnetons per cell
formation energy without anion corrections	-1.4428	eV per atom

---

> Which of these has the highest size of the total moment?

Na2CdBO4